(1)
{"formula": "Na4Np3MnN8", "functional": "PBE", "state": "optimized geometry", "cell": [[6.511, 0.000, 0.000], [0.000, 6.746, 0.044], [-3.255, -3.331, 5.089]], "species": ["N", "N", "N", "N", "N", "N", "N", "N", "Np", "Np", "Np", "Na", "Na", "Na", "Na", "Mn"], "fractional_positions": [[0.271, 0.311, 0.542], [0.264, 0.711, 0.528], [0.729, 0.689, 0.458], [0.271, 0.327, 0.050], [0.221, 0.673, 0.950], [0.736, 0.289, 0.472], [0.779, 0.327, 0.050], [0.729, 0.673, 0.950], [0.500, 0.500, 0.000], [0.000, 0.500, 0.500], [0.500, 0.500, 0.500], [0.000, 0.000, 0.500], [0.500, 0.000, 0.500], [0.500, 0.000, 0.000], [0.000, 0.000, 0.000], [0.000, 0.500, 0.000]]}

(2)
{"formula": "Na2NpMnN4", "functional": "PBE", "state": "optimized geometry", "cell": [[-0.281, 2.428, -4.133], [1.416, -6.191, -3.733], [-6.252, -1.245, -0.306]], "species": ["N", "N", "N", "N", "N", "N", "N", "N", "Na", "Na", "Na", "Na", "Np", "Np", "Mn", "Mn"], "fractional_positions": [[0.367, 0.165, 0.000], [0.433, 0.703, 0.253], [0.933, 0.297, 0.753], [0.933, 0.297, 0.247], [0.433, 0.703, 0.747], [0.441, 0.058, 0.500], [0.867, 0.835, 0.500], [0.941, 0.942, 0.000], [0.945, 0.628, 0.762], [0.945, 0.628, 0.238], [0.445, 0.372, 0.262], [0.445, 0.372, 0.738], [0.937, 0.106, 0.500], [0.437, 0.894, 0.000], [0.498, 0.816, 0.500], [0.998, 0.184, 0.000]]}

(3)
{"formula": "NaNpMnN3", "functional": "PBE", "state": "optimized geometry", "cell": [[3.452, 0.000, 0.000], [0.000, 6.829, 0.516], [0.000, -2.168, 7.908]], "species": ["N", "N", "N", "N", "N", "N", "Na", "Na", "Np", "Np", "Mn", "Mn"], "fractional_positions": [[0.750, 0.448, 0.119], [0.250, 0.552, 0.881], [0.250, 0.833, 0.430], [0.250, 0.135, 0.835], [0.750, 0.865, 0.165], [0.750, 0.167, 0.570], [0.250, 0.164, 0.158], [0.750, 0.836, 0.842], [0.250, 0.656, 0.160], [0.750, 0.344, 0.840], [0.250, 0.062, 0.601], [0.750, 0.938, 0.399]]}

(4)
{"formula": "Na3Np3MnN8", "functional": "PBE", "state": "optimized geometry", "cell": [[6.668, 0.000, 0.000], [-3.334, 5.778, -0.018], [0.000, -3.833, 5.668]], "species": ["Mn", "N", "N", "N", "N", "N", "N", "N", "N", "Na", "Na", "Na", "Np", "Np", "Np"], "fractional_positions": [[0.000, 0.000, 0.500], [0.730, 0.460, 0.690], [0.779, 0.047, 0.327], [0.221, 0.953, 0.673], [0.779, 0.559, 0.327], [0.732, 0.953, 0.673], [0.268, 0.047, 0.327], [0.221, 0.441, 0.673], [0.270, 0.540, 0.310], [0.000, 0.500, 0.000], [0.500, 0.500, 0.000], [0.000, 0.000, 0.000], [0.500, 0.500, 0.500], [0.000, 0.500, 0.500], [0.500, 0.000, 0.500]]}

no.,uncorrected formation energy (eV/atom)
1,-0.66
2,-0.40
3,-0.60
4,-0.61